# CoNiAg2 | the Alexandria database | PBEsol | relaxed
# Crystal system ... tetragonal
# Magnetization ... 0.56 μB per atom
# Calculated formation energy ... 0.419 eV/atom
# Calculated volume ... 54.23 Å³ per cell
# SG ... P4/mmm (123)
# Final energy ... -4.710 eV/atom
data_CoNiAg2
_space_group_name_H-M_alt 'P 1'
_space_group_IT_number 1
_space_group_name_Hall 'P 1'
_cell_length_a 3.784
_cell_length_b 3.784
_cell_length_c 3.788
_cell_angle_alpha 90.00
_cell_angle_beta 90.00
_cell_angle_gamma 90.00
loop_
_atom_site_label
_atom_site_fract_x
_atom_site_fract_y
_atom_site_fract_z
Co1 0.000 0.000 0.000
Ni1 0.500 0.500 0.000
Ag1 0.000 0.500 0.500
Ag2 0.500 0.000 0.500